Entry 1:
Crystalline ZrAgSb2 at its relaxed geometry. Source: the Alexandria database, functional PBE.

Cell: 5.467 5.467 5.467 Å, 131.26 131.26 71.40°
Element x y z (fractional)
Zr: 0.000 0.000 0.000
Ag: 0.500 0.500 0.000
Sb: 0.250 0.750 0.500
Sb: 0.750 0.250 0.500

## Properties
The density of states at the Fermi level is 1.69 states/eV/f.u. As for the uncorrected formation energy: -0.149 eV/atom. The space group is I4/mmm.

---

Entry 2:
Crystalline NaCuS2O8 at its relaxed geometry. Source: the Alexandria database, functional PBE.

Cell: 8.181 8.181 8.181 Å, 33.62 33.62 33.62°
Element x y z (fractional)
Na: 0.000 0.000 0.000
Cu: 0.500 0.500 0.500
S: 0.241 0.241 0.241
S: 0.759 0.759 0.759
O: 0.088 0.489 0.762
O: 0.238 0.912 0.511
O: 0.305 0.305 0.305
O: 0.489 0.762 0.088
O: 0.511 0.238 0.912
O: 0.695 0.695 0.695
O: 0.762 0.088 0.489
O: 0.912 0.511 0.238

## Properties
As for the uncorrected formation energy: -1.207 eV/atom. The space group is R-3.

---

Entry 3:
Crystalline KBaLiTl at its relaxed geometry. Source: the Alexandria database, functional PBE.

Cell: 6.064 6.064 6.064 Å, 60.00 60.00 60.00°
Element x y z (fractional)
K: 0.000 0.000 0.000
Ba: 0.500 0.500 0.500
Li: 0.750 0.750 0.750
Tl: 0.250 0.250 0.250

## Properties
The energy of formation is -0.04 eV/atom. The density of states at the Fermi level is 4.68 states/eV/f.u. The space group is F-43m.

---

Entry 4:
Crystalline NdScNi10 at its relaxed geometry. Source: the Alexandria database, functional PBE.

Cell: 3.971 4.845 8.419 Å, 90.00 90.00 90.00°
Element x y z (fractional)
Nd: 0.000 0.000 0.000
Sc: 0.000 0.500 0.500
Ni: 0.000 0.000 0.343
Ni: 0.000 0.000 0.657
Ni: 0.000 0.500 0.180
Ni: 0.000 0.500 0.820
Ni: 0.500 0.000 0.500
Ni: 0.500 0.253 0.257
Ni: 0.500 0.253 0.743
Ni: 0.500 0.500 0.000
Ni: 0.500 0.747 0.257
Ni: 0.500 0.747 0.743

## Properties
The energy of formation is -0.28 eV/atom. The density of states at the Fermi level is 13.53 states/eV/f.u. The space group is Pmmm.

---

Entry 5:
Crystalline K8Hg2Bi at its relaxed geometry. Source: the Alexandria database, functional PBE.

Cell: 10.515 10.515 10.515 Å, 147.40 124.70 65.69°
Element x y z (fractional)
K: 0.121 0.346 0.775
K: 0.141 0.141 0.000
K: 0.293 0.000 0.293
K: 0.429 0.654 0.775
K: 0.571 0.346 0.225
K: 0.707 0.000 0.707
K: 0.859 0.859 0.000
K: 0.879 0.654 0.225
Hg: 0.307 0.807 0.500
Hg: 0.693 0.193 0.500
Bi: 0.000 0.500 0.500

## Properties
The energy of formation is -0.18 eV/atom. The density of states at the Fermi level is 6.71 states/eV/f.u. The space group is Immm.

---

Entry 6:
Crystalline Nd2Co3CuGe4 at its relaxed geometry. Source: the Alexandria database, functional PBE.

Cell: 4.164 4.164 9.767 Å, 90.00 90.00 90.00°
Element x y z (fractional)
Nd: 0.000 0.500 0.246
Nd: 0.500 0.000 0.754
Co: 0.000 0.500 0.878
Co: 0.500 0.000 0.122
Co: 0.500 0.500 0.500
Cu: 0.000 0.000 0.500
Ge: 0.000 0.000 0.000
Ge: 0.000 0.500 0.636
Ge: 0.500 0.000 0.364
Ge: 0.500 0.500 0.000

## Properties
The energy of formation is -0.53 eV/atom. The density of states at the Fermi level is 8.09 states/eV/f.u. The space group is P-4m2.